No. 1
First-principles (PBE) data for a geometry-optimized Ba3Si4Au2 structure, as listed in Alexandria.

Cell lengths 12.5802, 4.3060, 9.0355 Å; angles 90.00, 93.08, 90.00 degrees
Space group C2/m (No. 12)
Symmetry-distinct sites (fractional):
Ba 0.0000 0.0000 0.0000 (multiplicity 2)
Ba 0.1674 0.5000 0.6686 (multiplicity 4)
Si 0.0509 0.0000 0.3935 (multiplicity 4)
Si 0.2233 0.5000 0.0570 (multiplicity 4)
Au 0.1097 0.5000 0.2792 (multiplicity 4)

theoretical density = 6.240 Mg/m³
size of the total moment = 0.00 μB per formula unit
formation energy (no corrections) = -0.542 eV/atom

***

No. 2
First-principles (PBE) data for a geometry-optimized Ba3Si3Au2 structure, as listed in Alexandria.

Cell lengths 4.5165, 12.2385, 16.6540 Å; angles 90.00, 90.00, 90.00 degrees
Space group Cmcm (No. 63)
Symmetry-distinct sites (fractional):
Ba 0.0000 0.0409 0.2500 (multiplicity 4)
Ba 0.0000 0.3405 0.0976 (multiplicity 8)
Si 0.0000 0.0694 0.0484 (multiplicity 8)
Si 0.0000 0.2549 0.7500 (multiplicity 4)
Au 0.0000 0.3725 0.6157 (multiplicity 8)

theoretical density = 6.423 Mg/m³
size of the total moment = 0.00 μB per formula unit
formation energy (no corrections) = -0.503 eV/atom

***

No. 3
First-principles (PBE) data for a geometry-optimized BaSiAu3 structure, as listed in Alexandria.

Cell lengths 13.1351, 13.1351, 13.1351 Å; angles 90.00, 90.00, 90.00 degrees
Space group Fd-3m (No. 227, origin choice 2)
Symmetry-distinct sites (fractional):
Ba 0.0000 0.0000 0.0000 (multiplicity 16)
Si 0.0000 0.0000 0.5000 (multiplicity 16)
Au 0.0634 0.3750 0.8750 (multiplicity 48)

theoretical density = 8.867 Mg/m³
size of the total moment = 0.00 μB per formula unit
formation energy (no corrections) = -0.193 eV/atom

***

No. 4
First-principles (PBE) data for a geometry-optimized BaSiAu3 structure, as listed in Alexandria.

Cell lengths 17.0118, 4.6989, 7.4481 Å; angles 90.00, 115.55, 90.00 degrees
Space group C2/m (No. 12)
Symmetry-distinct sites (fractional):
Ba 0.1439 0.0000 0.2256 (multiplicity 4)
Si 0.1727 0.5000 0.8850 (multiplicity 4)
Au 0.0238 0.5000 0.8408 (multiplicity 4)
Au 0.1173 0.5000 0.5174 (multiplicity 4)
Au 0.1894 0.0000 0.7870 (multiplicity 4)

theoretical density = 9.353 Mg/m³
size of the total moment = 0.00 μB per formula unit
formation energy (no corrections) = -0.387 eV/atom

***

No. 5
First-principles (PBE) data for a geometry-optimized BaSiAu3 structure, as listed in Alexandria.

Cell lengths 9.3592, 5.2969, 4.7086 Å; angles 90.00, 90.00, 90.00 degrees
Space group Pma2 (No. 28)
Symmetry-distinct sites (fractional):
Ba 0.0000 0.0000 0.0000 (multiplicity 2)
Si 0.2500 0.3074 0.5015 (multiplicity 2)
Au 0.0000 0.5000 0.4980 (multiplicity 2)
Au 0.2500 0.4867 0.0010 (multiplicity 2)
Au 0.2500 0.8409 0.5008 (multiplicity 2)

theoretical density = 10.760 Mg/m³
size of the total moment = 0.00 μB per formula unit
formation energy (no corrections) = -0.550 eV/atom

***

No. 6
First-principles (PBE) data for a geometry-optimized Ba3Si2Au4 structure, as listed in Alexandria.

Cell lengths 12.3748, 4.5373, 9.2204 Å; angles 90.00, 98.17, 90.00 degrees
Space group C2/m (No. 12)
Symmetry-distinct sites (fractional):
Ba 0.0000 0.0000 0.0000 (multiplicity 2)
Ba 0.1663 0.5000 0.6661 (multiplicity 4)
Si 0.1045 0.5000 0.2880 (multiplicity 4)
Au 0.0606 0.0000 0.3756 (multiplicity 4)
Au 0.2124 0.5000 0.0770 (multiplicity 4)

theoretical density = 8.140 Mg/m³
size of the total moment = 0.00 μB per formula unit
formation energy (no corrections) = -0.622 eV/atom